Entry 1:
Compound: CaReIr2
Source: Alexandria
Functional: PBE
Structure: relaxed

a = 6.410 Å, b = 6.410 Å, c = 6.410 Å
α = 90.00°, β = 90.00°, γ = 90.00°
Sites, in units of the cell vectors:
Ca  0.000  0.000  0.000
Ca  0.000  0.500  0.500
Ca  0.500  0.000  0.500
Ca  0.500  0.500  0.000
Re  0.250  0.250  0.750
Re  0.250  0.750  0.250
Re  0.750  0.250  0.250
Re  0.750  0.750  0.750
Ir  0.000  0.000  0.500
Ir  0.000  0.500  0.000
Ir  0.250  0.250  0.250
Ir  0.250  0.750  0.750
Ir  0.500  0.000  0.000
Ir  0.500  0.500  0.500
Ir  0.750  0.250  0.750
Ir  0.750  0.750  0.250

**Energy relative to the lowest polymorph listed for this composition**: 523 meV per atom
**Total energy**: -0.2751 Ha/atom
**D(E_F)**: 33.21 states/eV/cell
**Symmetry**: F-43m, No. 216
**Formation energy**: 557.1 meV per atom
**Total magnetic moment**: 0.76 μB per cell



Entry 2:
Compound: Tl2ReIr
Source: Alexandria
Functional: PBE
Structure: relaxed

a = 3.084 Å, b = 5.210 Å, c = 9.431 Å
α = 90.00°, β = 90.00°, γ = 90.00°
Sites, in units of the cell vectors:
Tl  0.000  0.000  0.246
Tl  0.000  0.000  0.754
Tl  0.500  0.500  0.246
Tl  0.500  0.500  0.754
Re  0.000  0.500  0.500
Re  0.500  0.000  0.500
Ir  0.000  0.500  0.000
Ir  0.500  0.000  0.000

**Energy relative to the lowest polymorph listed for this composition**: 532 meV per atom
**Total energy**: -0.2031 Ha/atom
**D(E_F)**: 7.04 states/eV/cell
**Symmetry**: Cmmm, No. 65
**Formation energy**: 984.0 meV per atom
**Total magnetic moment**: 0.00 μB per cell



Entry 3:
Compound: Al2VOs
Source: Alexandria
Functional: PBE
Structure: relaxed

a = 2.963 Å, b = 2.963 Å, c = 6.496 Å
α = 90.00°, β = 90.00°, γ = 90.00°
Sites, in units of the cell vectors:
Al  0.000  0.000  0.229
Al  0.000  0.000  0.771
V  0.500  0.500  0.500
Os  0.500  0.500  0.000

**Energy relative to the lowest polymorph listed for this composition**: 68 meV per atom
**Total energy**: -0.2644 Ha/atom
**D(E_F)**: 3.47 states/eV/cell
**Symmetry**: P4/mmm, No. 123
**Formation energy**: -237.1 meV per atom
**Total magnetic moment**: 0.00 μB per cell



Entry 4:
Compound: Mn2AlTl
Source: Alexandria
Functional: PBE
Structure: relaxed

a = 3.041 Å, b = 3.041 Å, c = 26.240 Å
α = 90.00°, β = 90.00°, γ = 120.00°
Sites, in units of the cell vectors:
Mn  0.000  0.000  0.000
Mn  0.000  0.000  0.267
Mn  0.333  0.667  0.667
Mn  0.333  0.667  0.934
Mn  0.667  0.333  0.333
Mn  0.667  0.333  0.601
Al  0.000  0.000  0.741
Al  0.333  0.667  0.407
Al  0.667  0.333  0.074
Tl  0.000  0.000  0.506
Tl  0.333  0.667  0.173
Tl  0.667  0.333  0.839

**Energy relative to the lowest polymorph listed for this composition**: 154 meV per atom
**Total energy**: -0.2110 Ha/atom
**D(E_F)**: 6.48 states/eV/cell
**Symmetry**: R3m, No. 160
**Formation energy**: 370.7 meV per atom
**Total magnetic moment**: 2.93 μB per cell



Entry 5:
Compound: Hf3Sc
Source: Alexandria
Functional: PBE
Structure: relaxed

a = 3.206 Å, b = 5.047 Å, c = 5.592 Å
α = 90.00°, β = 90.00°, γ = 90.00°
Sites, in units of the cell vectors:
Hf  0.000  0.000  0.000
Hf  0.000  0.500  0.329
Hf  0.500  0.500  0.835
Sc  0.500  0.000  0.504

**Energy relative to the lowest polymorph listed for this composition**: 0 meV per atom
**Total energy**: -0.3328 Ha/atom
**D(E_F)**: 2.96 states/eV/cell
**Symmetry**: Pmm2, No. 25
**Formation energy**: -7.9 meV per atom
**Total magnetic moment**: 0.00 μB per cell



Entry 6:
Compound: La6TmAg2
Source: Alexandria
Functional: PBE
Structure: relaxed

a = 6.779 Å, b = 6.779 Å, c = 12.237 Å
α = 106.86°, β = 106.86°, γ = 32.45°
Sites, in units of the cell vectors:
La  0.028  0.028  0.331
La  0.309  0.309  0.405
La  0.314  0.314  0.123
La  0.686  0.686  0.877
La  0.691  0.691  0.595
La  0.972  0.972  0.669
Tm  0.000  0.000  0.000
Ag  0.367  0.367  0.822
Ag  0.633  0.633  0.178

**Total energy**: -0.1663 Ha/atom
**D(E_F)**: 13.81 states/eV/cell
**Symmetry**: C2/m, No. 12
**Formation energy**: -109.7 meV per atom
**Total magnetic moment**: 0.00 μB per cell



> Number 6 is which compound?

La6TmAg2



> Among the records above, which one has the highest total magnetic moment?

Mn2AlTl



> Which formula does entry 3 have?

Al2VOs



Please write out number 5 again, unchanged.
Compound: Hf3Sc
Source: Alexandria
Functional: PBE
Structure: relaxed

a = 3.206 Å, b = 5.047 Å, c = 5.592 Å
α = 90.00°, β = 90.00°, γ = 90.00°
Sites, in units of the cell vectors:
Hf  0.000  0.000  0.000
Hf  0.000  0.500  0.329
Hf  0.500  0.500  0.835
Sc  0.500  0.000  0.504

**Energy relative to the lowest polymorph listed for this composition**: 0 meV per atom
**Total energy**: -0.3328 Ha/atom
**D(E_F)**: 2.96 states/eV/cell
**Symmetry**: Pmm2, No. 25
**Formation energy**: -7.9 meV per atom
**Total magnetic moment**: 0.00 μB per cell